Record 1
Material: CsCa2GaI
Method: DFT, PBE-GGA
State: optimized geometry

Unit cell a=7.3938 b=7.3938 c=6.7111 alpha=90.00 beta=90.00 gamma=90.00
Element x y z (fractional)
1 Cs 0.0000 0.0000 0.0000
2 Ca 0.0000 0.5000 0.0000
3 Ca 0.5000 0.0000 0.0000
4 Ga 0.5000 0.5000 0.5000
5 I 0.0000 0.0000 0.5000

Results
Crystal system: tetragonal
Energy relative to the elements, uncorrected, eV per atom: 0.625
SG: No. 123



Record 2
Material: MgZrCd2
Method: DFT, PBE-GGA
State: optimized geometry

Unit cell a=5.2006 b=5.2006 c=5.8812 alpha=98.57 beta=98.57 gamma=34.21
Element x y z (fractional)
1 Mg 0.0000 0.0000 0.0000
2 Zr 0.5000 0.5000 0.5000
3 Cd 0.2536 0.2536 0.7545
4 Cd 0.7464 0.7464 0.2455

Results
Energy relative to the elements, eV/atom: -0.0076
Crystal system: monoclinic
SG: No. 12



Record 3
Material: Cs2Pa3RhO12
Method: DFT, PBE-GGA
State: optimized geometry

Unit cell a=7.8482 b=7.8482 c=7.8482 alpha=61.57 beta=61.57 gamma=61.57
Element x y z (fractional)
1 Cs 0.1245 0.1245 0.1245
2 Cs 0.8755 0.8755 0.8755
3 Pa 0.0000 0.5000 0.5000
4 Pa 0.5000 0.0000 0.5000
5 Pa 0.5000 0.5000 0.0000
6 Rh 0.5000 0.5000 0.5000
7 O 0.1790 0.1790 0.5620
8 O 0.1790 0.5620 0.1790
9 O 0.2122 0.5574 0.5574
10 O 0.4380 0.8210 0.8210
11 O 0.4426 0.4426 0.7878
12 O 0.4426 0.7878 0.4426
13 O 0.5574 0.2122 0.5574
14 O 0.5574 0.5574 0.2122
15 O 0.5620 0.1790 0.1790
16 O 0.7878 0.4426 0.4426
17 O 0.8210 0.4380 0.8210
18 O 0.8210 0.8210 0.4380

Results
Crystal system: trigonal
Energy relative to the elements, uncorrected, eV per atom: -2.448
SG: No. 166



Record 4
Material: Ce4AsH3Rh12
Method: DFT, PBE-GGA
State: optimized geometry

Unit cell a=7.3007 b=7.3007 c=7.3007 alpha=109.47 beta=109.47 gamma=109.47
Element x y z (fractional)
1 Ce 0.0000 0.0000 0.5000
2 Ce 0.0000 0.5000 0.0000
3 Ce 0.5000 0.0000 0.0000
4 Ce 0.5000 0.5000 0.5000
5 As 0.0000 0.0000 0.0000
6 H 0.0000 0.5000 0.5000
7 H 0.5000 0.0000 0.5000
8 H 0.5000 0.5000 0.0000
9 Rh 0.0000 0.2792 0.2792
10 Rh 0.0000 0.7208 0.7208
11 Rh 0.2500 0.5000 0.7500
12 Rh 0.2500 0.7500 0.5000
13 Rh 0.2792 0.0000 0.2792
14 Rh 0.2792 0.2792 0.0000
15 Rh 0.5000 0.2500 0.7500
16 Rh 0.5000 0.7500 0.2500
17 Rh 0.7208 0.0000 0.7208
18 Rh 0.7208 0.7208 0.0000
19 Rh 0.7500 0.2500 0.5000
20 Rh 0.7500 0.5000 0.2500

Results
DFT total energy, eV per atom: -6.93
Crystal system: cubic
SG: No. 229



Record 5
Material: TaTi3Rh
Method: DFT, PBE-GGA
State: optimized geometry

Unit cell a=4.6405 b=4.6405 c=4.6405 alpha=90.00 beta=90.00 gamma=90.00
Element x y z (fractional)
1 Ta 0.0000 0.0000 0.0000
2 Ti 0.0000 0.5000 0.5000
3 Ti 0.5000 0.0000 0.5000
4 Ti 0.5000 0.5000 0.0000
5 Rh 0.5000 0.5000 0.5000

Results
Energy relative to the elements, eV/atom: 0.6107
Crystal system: cubic
Polymorph energy (0 for the lowest one), meV/atom: 947
SG: No. 221



Record 6
Material: ZnGaI2O
Method: DFT, PBE-GGA
State: optimized geometry

Unit cell a=5.7798 b=5.7798 c=3.6627 alpha=90.00 beta=90.00 gamma=90.00
Element x y z (fractional)
1 Zn 0.0000 0.0000 0.0000
2 Ga 0.5000 0.5000 0.5000
3 I 0.0000 0.5000 0.5000
4 I 0.5000 0.0000 0.5000
5 O 0.5000 0.5000 0.0000

Results
Crystal system: tetragonal
Polymorph energy (0 for the lowest one), meV/atom: 0
Energy relative to the elements, uncorrected, eV per atom: -0.308
SG: No. 123



Record 7
Material: Tb2PrSc
Method: DFT, PBE-GGA
State: optimized geometry

Unit cell a=5.6157 b=5.6157 c=5.6157 alpha=60.00 beta=60.00 gamma=60.00
Element x y z (fractional)
1 Tb 0.2500 0.2500 0.2500
2 Tb 0.7500 0.7500 0.7500
3 Pr 0.0000 0.0000 0.0000
4 Sc 0.5000 0.5000 0.5000

Results
Energy relative to the elements, eV/atom: 0.1619
Crystal system: cubic
Polymorph energy (0 for the lowest one), meV/atom: 132
SG: No. 225



Record 8
Material: GaCuSi
Method: DFT, PBE-GGA
State: optimized geometry

Unit cell a=4.1311 b=3.8948 c=5.9346 alpha=90.00 beta=93.06 gamma=90.00
Element x y z (fractional)
1 Ga 0.2444 0.2500 0.4870
2 Ga 0.7556 0.7500 0.5130
3 Cu 0.2836 0.7500 0.7696
4 Cu 0.7164 0.2500 0.2304
5 Si 0.2036 0.2500 0.0148
6 Si 0.7964 0.7500 0.9852

Results
Crystal system: monoclinic
Energy relative to the elements, uncorrected, eV per atom: 0.028
SG: No. 11



Number 1: DOS(E_F) 8.0 states/eV/cell, density 1.854 Mg/m³. Number 2: DOS(E_F) 2.2 states/eV/cell, density 6.398 Mg/m³. Number 3: DOS(E_F) 11.2 states/eV/cell, density 5.884 Mg/m³. Number 4: DOS(E_F) 18.3 states/eV/cell, density 10.384 Mg/m³. Number 5: DOS(E_F) 8.3 states/eV/cell, density 7.103 Mg/m³. Number 6: DOS(E_F) 2.1 states/eV/cell, density 5.496 Mg/m³. Number 7: DOS(E_F) 10.2 states/eV/cell, density 6.679 Mg/m³. Number 8: DOS(E_F) 1.9 states/eV/cell, density 5.620 Mg/m³.